1.
The following is a PBE calculation of an optimized crystal structure of PuGaPb2O6, from the Alexandria database.

a b c (Å): 5.8563 8.2949 5.8713
angles (deg): 90.00 90.00 90.00
With the nearest neighbours (Å) after each atom.
Space group Pmmn (No. 59, origin choice 2)
Symmetry-distinct sites (fractional):
Pu (0.2500, 0.2500, 0.2321)  6 O 2.07-2.21
Ga (0.2500, 0.7500, 0.2438)  6 O 1.97-2.11
Pb (0.2500, 0.5117, 0.7056)  3 O 2.47-2.68
O (0.0068, 0.7500, 0.0113)  1 Ga 1.97, 1 Pu 2.07
O (0.0100, 0.7500, 0.5125)  1 Ga 2.11, 1 Pu 2.14
O (0.2500, 0.5136, 0.2841)  1 Ga 1.98, 1 Pu 2.21

size of the total moment = 6.00 μB per cell
E_form (uncorrected) = -1.804 eV per atom

2.
The following is a PBE calculation of an optimized crystal structure of Th2CdCoAu, from the Alexandria database.

a b c (Å): 8.0533 3.9582 8.0591
angles (deg): 90.00 110.84 90.00
With the nearest neighbours (Å) after each atom.
Space group P2_1/m (No. 11)
Symmetry-distinct sites (fractional):
Th (0.0798, 0.2500, 0.3172)  3 Co 2.81-2.96
Th (0.3173, 0.7500, 0.0792)  3 Co 2.81-2.96
Cd (0.4203, 0.7500, 0.5805)  2 Cd 2.90, 2 Au 2.95
Co (0.0572, 0.2500, 0.9425)  2 Co 2.50, 1 Au 2.62
Au (0.2548, 0.2500, 0.7446)  1 Co 2.62

size of the total moment = 0.00 μB per cell
formation energy from the elements = -0.38 eV/atom

3.
The following is a PBE calculation of an optimized crystal structure of BaSr4Ca2, from the Alexandria database.

a b c (Å): 6.4933 6.4933 19.3763
angles (deg): 90.00 90.00 90.00
With the nearest neighbours (Å) after each atom.
Space group I4/mmm (No. 139)
Symmetry-distinct sites (fractional):
Ba (0.0000, 0.0000, 0.0000)  6 Sr 3.25-3.58
Sr (0.0000, 0.0000, 0.1850)  1 Ba 3.58
Sr (0.0000, 0.5000, 0.0000)  2 Ba 3.25
Ca (0.0000, 0.0000, 0.3942)  5 Sr 3.84-4.05, 1 Ca 4.10

size of the total moment = 0.00 μB per cell
formation energy from the elements = 0.46 eV/atom

4.
The following is a PBE calculation of an optimized crystal structure of MnWBrN2, from the Alexandria database.

a b c (Å): 3.6312 3.6312 5.2194
angles (deg): 90.00 90.00 90.00
With the nearest neighbours (Å) after each atom.
Space group P4/mmm (No. 123)
Symmetry-distinct sites (fractional):
Mn (0.0000, 0.0000, 0.0000)  4 N 1.82
W (0.0000, 0.0000, 0.5000)  4 Br 2.57, 2 Mn 2.61
Br (0.5000, 0.5000, 0.5000)  4 W 2.57
N (0.0000, 0.5000, 0.0000)  2 Mn 1.82

size of the total moment = 1.03 μB per cell
E_form (uncorrected) = 1.211 eV per atom

5.
The following is a PBE calculation of an optimized crystal structure of Dy10Er4Pu, from the Alexandria database.

a b c (Å): 11.2096 11.2096 7.6512
angles (deg): 90.00 90.00 90.00
With the nearest neighbours (Å) after each atom.
Space group I4/mmm (No. 139)
Symmetry-distinct sites (fractional):
Dy (0.0000, 0.2092, 0.2144)  1 Pu 3.21, 4 Dy 3.27-3.32, 4 Er 3.41-3.48
Dy (0.0000, 0.5000, 0.2500)  4 Dy 3.27
Er (0.2324, 0.2324, 0.5000)  8 Dy 3.41-3.48, 1 Pu 3.68
Pu (0.0000, 0.0000, 0.5000)  8 Dy 3.21

size of the total moment = 14.15 μB per cell
formation energy from the elements = 0.26 eV/atom

6.
The following is a PBE calculation of an optimized crystal structure of BeZn2As, from the Alexandria database.

a b c (Å): 4.8296 10.1567 2.8859
angles (deg): 90.00 119.89 90.00
With the nearest neighbours (Å) after each atom.
Space group C2/m (No. 12)
Symmetry-distinct sites (fractional):
Be (0.0000, 0.0000, 0.0000)  4 As 2.41-2.69
Zn (0.2500, 0.2500, 0.0000)  4 Zn 2.41-2.69
As (0.0000, 0.5000, 0.0000)  4 Be 2.41-2.69

size of the total moment = 0.00 μB per cell
formation energy from the elements = 0.27 eV/atom

7.
The following is a PBE calculation of an optimized crystal structure of Ta2NbSiPb, from the Alexandria database.

a b c (Å): 4.9074 4.9074 5.3681
angles (deg): 90.00 90.00 90.00
With the nearest neighbours (Å) after each atom.
Space group P4/mmm (No. 123)
Symmetry-distinct sites (fractional):
Ta (0.0000, 0.5000, 0.0000)  2 Nb 2.45
Nb (0.0000, 0.0000, 0.0000)  4 Ta 2.45, 2 Pb 2.68
Si (0.5000, 0.5000, 0.5000)  4 Pb 3.47, 8 Ta 3.64
Pb (0.0000, 0.0000, 0.5000)  2 Nb 2.68

size of the total moment = 0.00 μB per cell
E_form (uncorrected) = 1.677 eV per atom

8.
The following is a PBE calculation of an optimized crystal structure of Nd7Ho3Mg, from the Alexandria database.

a b c (Å): 7.1298 7.1298 8.6735
angles (deg): 90.00 90.00 120.00
With the nearest neighbours (Å) after each atom.
Space group P3m1 (No. 156)
Symmetry-distinct sites (fractional):
Nd (0.0000, 0.0000, 0.0000)  3 Ho 3.54, 9 Nd 3.55-3.56
Nd (0.1646, 0.3291, 0.3362)  2 Ho 3.52, 7 Nd 3.52-3.61, 2 Mg 3.56
Nd (0.5004, 0.0007, 0.9968)  2 Ho 3.53, 8 Nd 3.56-3.60, 1 Mg 3.58
Ho (0.3315, 0.1657, 0.6668)  5 Nd 3.52-3.54, 1 Mg 3.54, 4 Ho 3.55-3.58
Mg (0.6667, 0.3333, 0.3355)  3 Ho 3.54, 9 Nd 3.56-3.58

size of the total moment = 0.00 μB per cell
formation energy from the elements = 0.18 eV/atom

9.
The following is a PBE calculation of an optimized crystal structure of Pm2ScSn3Pt4, from the Alexandria database.

a b c (Å): 4.5486 4.5486 10.9231
angles (deg): 90.00 90.00 90.00
With the nearest neighbours (Å) after each atom.
Space group P-4m2 (No. 115)
Symmetry-distinct sites (fractional):
Pm (0.0000, 0.5000, 0.2294)  8 Pt 3.38-3.54, 6 Sn 3.40-3.73, 2 Sc 3.73
Sc (0.0000, 0.0000, 0.5000)  4 Pt 2.71
Sn (0.0000, 0.5000, 0.8710)  5 Pt 2.58-2.68
Sn (0.5000, 0.5000, 0.5000)  4 Pt 2.71
Pt (0.0000, 0.0000, 0.0000)  4 Sn 2.68
Pt (0.0000, 0.5000, 0.6345)  3 Sn 2.58-2.71, 2 Sc 2.71
Pt (0.5000, 0.5000, 0.0000)  4 Sn 2.68

size of the total moment = 0.00 μB per cell
formation energy from the elements = -0.91 eV/atom

10.
The following is a PBE calculation of an optimized crystal structure of BaZnRh2, from the Alexandria database.

a b c (Å): 3.3633 3.3633 7.3725
angles (deg): 90.00 90.00 90.00
With the nearest neighbours (Å) after each atom.
Space group P4mm (No. 99)
Symmetry-distinct sites (fractional):
Ba (0.0000, 0.0000, 0.0000)  5 Rh 3.33-3.52, 4 Ba 3.36, 4 Zn 3.46
Zn (0.5000, 0.5000, 0.6590)  5 Rh 2.53-2.73
Rh (0.0000, 0.0000, 0.4781)  4 Rh 2.66, 4 Zn 2.73
Rh (0.5000, 0.5000, 0.3157)  1 Zn 2.53, 4 Rh 2.66

size of the total moment = 0.00 μB per cell
formation energy from the elements = 0.11 eV/atom

11.
The following is a PBE calculation of an optimized crystal structure of PdN2Cl2, from the Alexandria database.

a b c (Å): 6.0715 6.0715 3.9674
angles (deg): 90.00 90.00 90.00
With the nearest neighbours (Å) after each atom.
Space group P4/mbm (No. 127)
Symmetry-distinct sites (fractional):
Pd (0.0000, 0.0000, 0.0000)  4 N 2.16
N (0.2223, 0.2777, 0.0000)  2 Cl 2.04, 2 Pd 2.16
Cl (0.1686, 0.3314, 0.5000)  2 N 2.04

size of the total moment = 0.00 μB per cell
E_form (uncorrected) = 1.454 eV per atom

12.
The following is a PBE calculation of an optimized crystal structure of PmEuDyTl, from the Alexandria database.

a b c (Å): 7.9203 7.9203 7.9203
angles (deg): 90.00 90.00 90.00
With the nearest neighbours (Å) after each atom.
Space group F-43m (No. 216)
Symmetry-distinct sites (fractional):
Pm (0.0000, 0.0000, 0.0000)  4 Dy 3.43, 4 Eu 3.43
Eu (0.2500, 0.2500, 0.2500)  4 Tl 3.43, 4 Pm 3.43
Dy (0.2500, 0.2500, 0.7500)  4 Tl 3.43, 4 Pm 3.43
Tl (0.0000, 0.0000, 0.5000)  4 Dy 3.43, 4 Eu 3.43

size of the total moment = 32.13 μB per cell
formation energy from the elements = 0.00 eV/atom

13.
The following is a PBE calculation of an optimized crystal structure of CsMgSn, from the Alexandria database.

a b c (Å): 5.0077 5.0077 6.1237
angles (deg): 90.00 90.00 120.00
With the nearest neighbours (Å) after each atom.
Space group P-6m2 (No. 187)
Symmetry-distinct sites (fractional):
Cs (0.0000, 0.0000, 0.0000)  6 Sn 4.21, 6 Mg 4.21
Mg (0.6667, 0.3333, 0.5000)  3 Sn 2.89
Sn (0.3333, 0.6667, 0.5000)  3 Mg 2.89

size of the total moment = 0.70 μB per cell
formation energy from the elements = -0.04 eV/atom